Zr5CdCu GGA-PBE optimized geometry; space group = C2/c; ΔH_f (0 K) = 0.224 eV/atom; calculated volume = 22.4 Å³/atom; calculated total energy = -6.60 eV/atom
1.0
-5.940 -0.572 0.087
-2.624 -4.631 -2.699
-3.886 -8.153 7.254
Zr Cd Cu
10 2 2
Cartesian
-5.515 -7.273 5.399
-9.594 -9.282 3.472
-2.802 -1.761 -0.704
-4.171 -5.965 -0.402
-9.647 -11.595 5.346
-2.856 -4.074 1.171
-4.711 -5.879 2.894
-6.935 -6.082 -0.757
-7.739 -7.476 1.748
-8.279 -7.391 5.044
-6.574 -9.478 3.612
-5.876 -3.878 1.031
0.000 0.000 0.000
-1.943 -4.077 3.627